Entry 1:
The following is a DFT calculation (PBE) of BeSi2Mo after structural relaxation.

```
4
Lattice="2.664 0.000 0.000 0.000 4.182 0.000 -0.008 0.000 4.626" Properties=species:S:1:pos:R:3 pbc="T T T"
Be 0.000 0.000 0.000
Si 2.646 2.091 3.554
Si 2.652 0.000 2.257
Mo 1.325 2.091 1.174
```

Properties
**Space-group type**: Pm (6)
**Energy relative to the lowest polymorph listed for this composition**: 0.80 eV per formula unit


Entry 2:
The following is a DFT calculation (PBE) of Be4Si2Mo after structural relaxation.

```
7
Lattice="3.129 -3.652 0.000 3.129 3.652 0.000 -0.986 0.000 3.439" Properties=species:S:1:pos:R:3 pbc="T T T"
Be 0.000 0.000 0.000
Be 3.396 1.088 2.863
Be 3.280 0.000 0.983
Be 3.396 -1.088 2.863
Si 2.106 2.203 1.439
Si 2.106 -2.203 1.439
Mo 1.131 0.000 2.272
```

Properties
**Space-group type**: Cm (8)


Number 1: uncorrected formation energy 19 meV/atom. Number 2: uncorrected formation energy 78 meV/atom.